# 1
An optimized crystal structure of TmAgPb. Source: Alexandria, functional PBE-GGA.

Properties
Total energy, eV per atom: -3.918

a b c (Å): 8.747 8.747 4.694
angles (deg): 90.00 90.00 154.65
Atoms (fractional coordinates):
1 Tm 0.093 0.907 0.750
2 Tm 0.907 0.093 0.250
3 Ag 0.455 0.545 0.750
4 Ag 0.545 0.455 0.250
5 Pb 0.286 0.714 0.750
6 Pb 0.714 0.286 0.250

# 2
An optimized crystal structure of TmAg2Pb2. Source: Alexandria, functional PBE-GGA.

Properties
Total energy, eV per atom: -3.689

a b c (Å): 11.667 11.667 4.593
angles (deg): 90.00 90.00 157.43
Atoms (fractional coordinates):
1 Tm 0.136 0.864 0.750
2 Tm 0.864 0.136 0.250
3 Ag 0.038 0.962 0.250
4 Ag 0.461 0.539 0.250
5 Ag 0.539 0.461 0.750
6 Ag 0.962 0.038 0.750
7 Pb 0.250 0.750 0.250
8 Pb 0.376 0.624 0.750
9 Pb 0.624 0.376 0.250
10 Pb 0.750 0.250 0.750

# 3
An optimized crystal structure of Tm3AgPb2. Source: Alexandria, functional PBE-GGA.

Properties
Total energy, eV per atom: -4.313

a b c (Å): 12.194 4.630 11.441
angles (deg): 90.00 90.00 90.00
Atoms (fractional coordinates):
1 Tm 0.049 0.250 0.135
2 Tm 0.146 0.750 0.573
3 Tm 0.230 0.250 0.801
4 Tm 0.270 0.750 0.301
5 Tm 0.354 0.250 0.073
6 Tm 0.451 0.750 0.635
7 Tm 0.549 0.250 0.365
8 Tm 0.646 0.750 0.927
9 Tm 0.730 0.250 0.699
10 Tm 0.770 0.750 0.199
11 Tm 0.854 0.250 0.427
12 Tm 0.951 0.750 0.865
13 Ag 0.123 0.250 0.387
14 Ag 0.377 0.750 0.887
15 Ag 0.623 0.250 0.113
16 Ag 0.877 0.750 0.613
17 Pb 0.003 0.250 0.679
18 Pb 0.173 0.750 0.012
19 Pb 0.327 0.250 0.512
20 Pb 0.497 0.750 0.179
21 Pb 0.503 0.250 0.821
22 Pb 0.673 0.750 0.488
23 Pb 0.827 0.250 0.988
24 Pb 0.997 0.750 0.321

# 4
An optimized crystal structure of Tm2Ag3Pb3. Source: Alexandria, functional PBE-GGA.

Properties
Total energy, eV per atom: -3.795

a b c (Å): 4.652 4.787 8.601
angles (deg): 90.00 90.00 90.00
Atoms (fractional coordinates):
1 Tm 0.000 0.000 0.246
2 Tm 0.000 0.000 0.754
3 Ag 0.000 0.500 0.000
4 Ag 0.500 0.500 0.233
5 Ag 0.500 0.500 0.767
6 Pb 0.000 0.500 0.500
7 Pb 0.500 0.000 0.000
8 Pb 0.500 0.000 0.500

# 5
An optimized crystal structure of Tm4AgPb. Source: Alexandria, functional PBE-GGA.

Properties
Total energy, eV per atom: -4.332
Distance to the lowest polymorph of the same formula, eV per formula unit: 0.00

a b c (Å): 9.789 9.789 9.789
angles (deg): 60.00 60.00 60.00
Atoms (fractional coordinates):
1 Tm 0.063 0.063 0.437
2 Tm 0.063 0.437 0.063
3 Tm 0.063 0.437 0.437
4 Tm 0.090 0.637 0.637
5 Tm 0.185 0.185 0.815
6 Tm 0.185 0.815 0.185
7 Tm 0.185 0.815 0.815
8 Tm 0.437 0.063 0.063
9 Tm 0.437 0.063 0.437
10 Tm 0.437 0.437 0.063
11 Tm 0.637 0.090 0.637
12 Tm 0.637 0.637 0.090
13 Tm 0.637 0.637 0.637
14 Tm 0.815 0.185 0.185
15 Tm 0.815 0.185 0.815
16 Tm 0.815 0.815 0.185
17 Ag 0.450 0.850 0.850
18 Ag 0.850 0.450 0.850
19 Ag 0.850 0.850 0.450
20 Ag 0.850 0.850 0.850
21 Pb 0.406 0.406 0.406
22 Pb 0.406 0.406 0.783
23 Pb 0.406 0.783 0.406
24 Pb 0.783 0.406 0.406

# 6
An optimized crystal structure of TmAgPb. Source: Alexandria, functional PBE-GGA.

Properties
Total energy, eV per atom: -4.005

a b c (Å): 4.503 4.503 7.323
angles (deg): 90.00 90.04 90.00
Atoms (fractional coordinates):
1 Tm 0.249 0.250 0.198
2 Tm 0.751 0.750 0.802
3 Ag 0.250 0.750 0.500
4 Ag 0.750 0.250 0.500
5 Pb 0.251 0.250 0.772
6 Pb 0.749 0.750 0.228

# 7
An optimized crystal structure of Tm7Ag4Pb. Source: Alexandria, functional PBE-GGA.

Properties
Total energy, eV per atom: -3.962

a b c (Å): 7.738 7.738 8.870
angles (deg): 116.75 116.75 42.87
Atoms (fractional coordinates):
1 Tm 0.000 0.000 0.000
2 Tm 0.214 0.214 0.672
3 Tm 0.323 0.323 0.123
4 Tm 0.422 0.422 0.593
5 Tm 0.578 0.578 0.407
6 Tm 0.677 0.677 0.877
7 Tm 0.786 0.786 0.328
8 Ag 0.020 0.020 0.680
9 Ag 0.195 0.195 0.328
10 Ag 0.805 0.805 0.672
11 Ag 0.980 0.980 0.320
12 Pb 0.500 0.500 0.000

# 8
An optimized crystal structure of Tm7AgPb4. Source: Alexandria, functional PBE-GGA.

Properties
Total energy, eV per atom: -4.217

a b c (Å): 8.115 8.115 11.172
angles (deg): 126.07 126.07 39.20
Atoms (fractional coordinates):
1 Tm 0.000 0.000 0.000
2 Tm 0.146 0.146 0.570
3 Tm 0.293 0.293 0.137
4 Tm 0.419 0.419 0.689
5 Tm 0.581 0.581 0.311
6 Tm 0.707 0.707 0.863
7 Tm 0.854 0.854 0.430
8 Ag 0.500 0.500 0.000
9 Pb 0.078 0.078 0.784
10 Pb 0.221 0.221 0.339
11 Pb 0.779 0.779 0.661
12 Pb 0.922 0.922 0.216

# 9
An optimized crystal structure of Tm4AgPb. Source: Alexandria, functional PBE-GGA.

Properties
Total energy, eV per atom: -4.135
Distance to the lowest polymorph of the same formula, eV per formula unit: 1.18

a b c (Å): 4.997 4.997 7.310
angles (deg): 90.00 90.00 90.00
Atoms (fractional coordinates):
1 Tm 0.000 0.500 0.231
2 Tm 0.000 0.500 0.769
3 Tm 0.500 0.000 0.231
4 Tm 0.500 0.000 0.769
5 Ag 0.000 0.000 0.000
6 Pb 0.500 0.500 0.500

# 10
An optimized crystal structure of Tm4Ag3Pb. Source: Alexandria, functional PBE-GGA.

Properties
Total energy, eV per atom: -4.127

a b c (Å): 8.250 8.250 8.250
angles (deg): 143.89 143.89 51.99
Atoms (fractional coordinates):
1 Tm 0.132 0.632 0.500
2 Tm 0.368 0.868 0.500
3 Tm 0.632 0.132 0.500
4 Tm 0.868 0.368 0.500
5 Ag 0.000 0.000 0.000
6 Ag 0.245 0.245 0.000
7 Ag 0.755 0.755 0.000
8 Pb 0.500 0.500 0.000

# 11
An optimized crystal structure of Tm5Ag2Pb2. Source: Alexandria, functional PBE-GGA.

Properties
Total energy, eV per atom: -4.262

a b c (Å): 8.694 8.694 7.631
angles (deg): 90.00 90.00 57.95
Atoms (fractional coordinates):
1 Tm 0.000 0.000 0.000
2 Tm 0.052 0.695 0.662
3 Tm 0.195 0.552 0.162
4 Tm 0.305 0.948 0.662
5 Tm 0.448 0.805 0.162
6 Tm 0.500 0.500 0.500
7 Tm 0.552 0.195 0.838
8 Tm 0.695 0.052 0.338
9 Tm 0.805 0.448 0.838
10 Tm 0.948 0.305 0.338
11 Ag 0.123 0.877 0.369
12 Ag 0.377 0.623 0.869
13 Ag 0.623 0.377 0.131
14 Ag 0.877 0.123 0.631
15 Pb 0.211 0.211 0.000
16 Pb 0.289 0.289 0.500
17 Pb 0.711 0.711 0.500
18 Pb 0.789 0.789 0.000

# 12
An optimized crystal structure of Tm3Ag2Pb2. Source: Alexandria, functional PBE-GGA.

Properties
Total energy, eV per atom: -4.127

a b c (Å): 11.403 11.403 3.511
angles (deg): 90.00 90.00 157.38
Atoms (fractional coordinates):
1 Tm 0.000 0.000 0.000
2 Tm 0.166 0.834 0.000
3 Tm 0.834 0.166 0.000
4 Ag 0.285 0.715 0.500
5 Ag 0.715 0.285 0.500
6 Pb 0.419 0.581 0.500
7 Pb 0.581 0.419 0.500

Q: Which of these has the highest total energy?
A: TmAg2Pb2